Computed, not measured: NaCdHg2 after structural relaxation at the PBE level of DFT.

Cell: 4.844 4.844 4.160 Å, 90.00 90.00 90.00°
Space group P4/mmm (No. 123)
Asymmetric unit:
Na1 0.000 0.000 0.000
Cd1 0.500 0.500 0.000
Hg1 0.000 0.500 0.500

***

Computed, not measured: Na2Cd2Hg7 after structural relaxation at the PBE level of DFT.

Cell: 10.818 10.739 5.586 Å, 90.00 117.75 90.00°
Space group C2/m (No. 12)
Asymmetric unit:
Na1 0.000 0.200 0.000
Cd1 0.234 0.500 0.957
Hg1 0.000 0.000 0.500
Hg2 0.095 0.500 0.322
Hg3 0.170 0.249 0.666

Values from the calculation:
Energy above the most stable polymorph in this dataset ... 0 meV/atom

***

Computed, not measured: Na5Cd2Hg4 after structural relaxation at the PBE level of DFT.

Cell: 7.578 17.483 4.415 Å, 90.00 90.00 90.00°
Space group Pbam (No. 55)
Asymmetric unit:
Na1 0.000 0.000 0.000
Na2 0.104 0.418 0.000
Na3 0.185 0.189 0.000
Cd1 0.000 0.296 0.500
Hg1 0.116 0.868 0.500
Hg2 0.209 0.551 0.500

Values from the calculation:
Energy above the most stable polymorph in this dataset ... 0 meV/atom

***

Computed, not measured: NaCd4Hg5 after structural relaxation at the PBE level of DFT.

Cell: 9.465 4.863 10.726 Å, 90.00 101.65 90.00°
Space group C2/m (No. 12)
Asymmetric unit:
Na1 0.000 0.000 0.000
Cd1 0.103 0.500 0.806
Cd2 0.199 0.000 0.596
Hg1 0.000 0.500 0.500
Hg2 0.096 0.000 0.298
Hg3 0.201 0.500 0.106

Values from the calculation:
Energy above the most stable polymorph in this dataset ... 0 meV/atom

***

Computed, not measured: Na3Cd9Hg2 after structural relaxation at the PBE level of DFT.

Cell: 4.986 10.403 13.907 Å, 90.00 90.00 90.00°
Space group Immm (No. 71)
Asymmetric unit:
Na1 0.000 0.000 0.000
Na2 0.000 0.000 0.297
Cd1 0.000 0.277 0.133
Cd2 0.000 0.363 0.336
Cd3 0.000 0.500 0.000
Hg1 0.000 0.173 0.500

***

Computed, not measured: Na2Cd2Hg7 after structural relaxation at the PBE level of DFT.

Cell: 3.512 15.337 10.799 Å, 90.00 90.00 90.00°
Space group Imm2 (No. 44)
Asymmetric unit:
Na1 0.000 0.203 0.000
Cd1 0.000 0.000 0.844
Cd2 0.000 0.500 0.852
Hg1 0.000 0.000 0.114
Hg2 0.000 0.113 0.523
Hg3 0.000 0.322 0.744
Hg4 0.000 0.349 0.260

Values from the calculation:
Energy above the most stable polymorph in this dataset ... 22 meV/atom

***

Computed, not measured: Na4CdHg15 after structural relaxation at the PBE level of DFT.

Cell: 4.722 4.722 23.385 Å, 90.00 90.00 90.00°
Space group P4/mmm (No. 123)
Asymmetric unit:
Na1 0.000 0.000 0.100
Na2 0.000 0.000 0.301
Cd1 0.000 0.000 0.500
Hg1 0.000 0.500 0.000
Hg2 0.000 0.500 0.200
Hg3 0.000 0.500 0.400
Hg4 0.500 0.500 0.100
Hg5 0.500 0.500 0.300
Hg6 0.500 0.500 0.500

***

Computed, not measured: Na3Cd2Hg5 after structural relaxation at the PBE level of DFT.

Cell: 8.476 20.189 6.294 Å, 90.00 90.00 90.00°
Space group Ibam (No. 72)
Asymmetric unit:
Na1 0.000 0.000 0.250
Na2 0.160 0.369 0.000
Cd1 0.230 0.415 0.500
Hg1 0.000 0.154 0.250
Hg2 0.000 0.500 0.250
Hg3 0.143 0.274 0.500

***

Summary of E_form in meV/atom
-150; -106; -170; -63; -75; -84; -141; -123
(order as listed above)